Material: Pm4Ni3Ru
Method: DFT, PBE-GGA
State: relaxed

a b c (Å): 3.956 4.127 10.746
angles (deg): 90.00 90.00 90.00
Sites, in units of the cell vectors:
Ru: 0.500 0.500 0.072
Ni: 0.000 0.500 0.568
Pm: 0.500 0.000 0.639
Pm: 0.500 0.500 0.357
Ni: 0.000 0.000 0.437
Ni: 0.500 0.000 0.923
Pm: 0.000 0.500 0.862
Pm: 0.000 0.000 0.142

Results
- energy of formation from the pure elements (kJ/mol of atoms) = -29
- space group = Pmm2 (25)

Material: InAg2AsS
Method: DFT, PBE-GGA
State: relaxed

a b c (Å): 4.881 5.462 4.881
angles (deg): 90.00 90.00 90.00
Last column: magnetic moment on the atom in μB.
Sites, in units of the cell vectors:
As: 0.000 0.000 0.000  0.03
Ag: 0.500 0.000 0.000  0.05
Ag: 0.000 0.000 0.500  0.02
S: 0.500 0.500 0.500  0.25
In: 0.000 0.500 0.000  0.00

Results
- ΔE_f (raw) (eV per atom) = 0.36
- space group = P4/mmm (123)

Material: TlFeAs2
Method: DFT, PBE-GGA
State: relaxed

a b c (Å): 4.831 4.831 4.831
angles (deg): 60.00 60.00 60.00
Last column: magnetic moment on the atom in μB.
Sites, in units of the cell vectors:
Tl: 0.750 0.750 0.750  -0.01
As: 0.250 0.250 0.250  -0.03
Fe: 0.500 0.500 0.500  2.87
As: 0.000 0.000 0.000  -0.02

Results
- energy of formation from the pure elements (kJ/mol of atoms) = 65
- space group = F-43m (216)

no.,final energy (eV per atom)
1,-6.007
2,-3.079
3,-4.358